1.
PuFeW | PBE | optimized geometry

a b c (Å): 4.1896 4.1896 4.1896
angles (deg): 60.00 60.00 60.00
Atoms (fractional coordinates):
Pu (0.0000, 0.0000, 0.0000)
Fe (0.7500, 0.7500, 0.7500)
W (0.5000, 0.5000, 0.5000)

Summary:
Relative energy among the computed polymorphs (eV/f.u.): 0.00

---

2.
PuFeW | PBE | optimized geometry

a b c (Å): 4.2157 4.2157 4.2157
angles (deg): 60.00 60.00 60.00
Atoms (fractional coordinates):
Pu (0.0000, 0.0000, 0.0000)
Fe (0.7500, 0.7500, 0.7500)
W (0.2500, 0.2500, 0.2500)

Summary:
Relative energy among the computed polymorphs (eV/f.u.): 1.35

---

3.
YPuFe | PBE | optimized geometry

a b c (Å): 4.4075 4.4075 4.4075
angles (deg): 60.00 60.00 60.00
Atoms (fractional coordinates):
Y (0.0000, 0.0000, 0.0000)
Pu (0.7500, 0.7500, 0.7500)
Fe (0.5000, 0.5000, 0.5000)

---

| no. | energy of formation from the pure elements (eV per atom) |
| --- | --- |
| 1 | 0.96 |
| 2 | 1.41 |
| 3 | 1.50 |